Entry from the Alexandria database: a crystal of BAs2C relaxed with PBEsol (SCAN).

* formation enthalpy at 0 K: 696 meV per atom
* total magnetization: 0.00 μB per formula unit
* crystal system: tetragonal

a b c (Å): 4.690 4.690 9.566
angles (deg): 90.00 90.00 90.00
Space group I-42d (No. 122)
Inequivalent atoms, fractional coordinates:
B1 0.000 0.000 0.000 (multiplicity 4)
As1 0.250 0.250 0.125 (multiplicity 8)
C1 0.000 0.000 0.500 (multiplicity 4)